(1)
VASP calculation (PBE) on a geometry-optimized Nd3Sm6Y2Er structure.

abc: 6.2815 6.2815 11.9959
angles: 95.00 95.00 120.00
Atoms (fractional coordinates):
Nd 0.0000 0.0000 0.0000
Nd 0.3334 0.6666 0.0000
Nd 0.6666 0.3334 0.0000
Sm 0.0853 0.4176 0.2538
Sm 0.2501 0.2501 0.7464
Sm 0.4176 0.0853 0.2538
Sm 0.5824 0.9147 0.7462
Sm 0.7499 0.7499 0.2536
Sm 0.9147 0.5824 0.7462
Y 0.1666 0.8334 0.5000
Y 0.8334 0.1666 0.5000
Er 0.5000 0.5000 0.5000

Results
Its electronic total energy is -59.92 eV for the cell shown.

***

(2)
VASP calculation (PBE) on a geometry-optimized K3ErSc2O6 structure.

abc: 5.7391 5.7391 6.4816
angles: 98.48 98.48 120.00
Atoms (fractional coordinates):
K 0.0000 0.0000 0.0000
K 0.3322 0.6678 0.0000
K 0.6678 0.3322 0.0000
Er 0.5000 0.5000 0.5000
Sc 0.1666 0.8334 0.5000
Sc 0.8334 0.1666 0.5000
O 0.0950 0.4401 0.3204
O 0.2148 0.2148 0.6798
O 0.4401 0.0950 0.3204
O 0.5599 0.9050 0.6796
O 0.7852 0.7852 0.3202
O 0.9050 0.5599 0.6796

Results
As for the uncorrected formation energy: -2.76 eV per atom.

***

Results for total magnetization: 0.000, 0.000 (in μB per formula unit, following the order of the records).